[1]
{"formula": "Te2OsPt", "functional": "GGA-PBE", "state": "relaxed", "lattice_angstrom": [[2.205, 0.000, 8.028], [-1.103, 1.910, 8.028], [-1.103, -1.910, 8.028]], "species": ["Te", "Pt", "Os", "Te"], "frac_coords": [[0.895, 0.895, 0.895], [0.000, 0.000, 0.000], [0.500, 0.500, 0.500], [0.105, 0.105, 0.105]], "de_polymorph_ev_per_fu": 0.79, "final_energy_ev_per_atom": -5.476, "raw_formation_energy_ev_per_fu": 1.7, "spacegroup": "R-3m, No. 166", "dos_at_fermi_per_ev_atom": 1.284}

[2]
{"formula": "TeOsPt2", "functional": "GGA-PBE", "state": "relaxed", "lattice_angstrom": [[-0.478, -1.998, 2.574], [3.459, 0.241, 0.830], [-1.136, 4.634, 3.386]], "species": ["Pt", "Os", "Te", "Pt"], "frac_coords": [[0.500, 0.500, 0.227], [0.500, 0.500, 0.761], [0.000, 0.000, 0.515], [0.000, 0.000, 0.997]], "final_energy_ev_per_atom": -6.198, "raw_formation_energy_ev_per_fu": 1.7, "spacegroup": "Pmm2, No. 25", "dos_at_fermi_per_ev_atom": 0.884}

[3]
{"formula": "Te2OsPt", "functional": "GGA-PBE", "state": "relaxed", "lattice_angstrom": [[-4.680, 5.337, 0.925], [-4.697, 3.244, -4.320], [2.709, -6.126, 2.526]], "species": ["Te", "Te", "Pt", "Os"], "frac_coords": [[0.887, 0.887, 0.000], [0.613, 0.613, 0.000], [0.250, 0.750, 0.500], [0.750, 0.250, 0.500]], "de_polymorph_ev_per_fu": 0.04, "final_energy_ev_per_atom": -5.663, "raw_formation_energy_ev_per_fu": 0.9, "spacegroup": "Immm, No. 71", "dos_at_fermi_per_ev_atom": 0.939}

[4]
{"formula": "Te2OsPt", "functional": "GGA-PBE", "state": "relaxed", "lattice_angstrom": [[-0.239, 0.424, 3.221], [-0.456, -3.203, 0.388], [7.223, -0.948, 0.662]], "species": ["Te", "Os", "Pt", "Te"], "frac_coords": [[0.000, 0.000, 0.488], [0.500, 0.500, 0.250], [0.500, 0.500, 0.750], [0.000, 0.000, 0.012]], "de_polymorph_ev_per_fu": 1.23, "final_energy_ev_per_atom": -5.366, "raw_formation_energy_ev_per_fu": 2.1, "spacegroup": "P4/mmm, No. 123", "dos_at_fermi_per_ev_atom": 0.649}

[5]
{"formula": "Te3OsPt", "functional": "GGA-PBE", "state": "relaxed", "lattice_angstrom": [[5.145, 0.000, 0.000], [0.000, 5.145, 0.000], [0.000, 0.000, 5.145]], "species": ["Os", "Te", "Pt", "Te", "Te"], "frac_coords": [[0.000, 0.000, 0.000], [0.000, 0.000, 0.500], [0.500, 0.500, 0.500], [0.000, 0.500, 0.000], [0.500, 0.000, 0.000]], "de_polymorph_ev_per_fu": 0.00, "final_energy_ev_per_atom": -4.231, "raw_formation_energy_ev_per_fu": 5.5, "spacegroup": "Pm-3m, No. 221", "dos_at_fermi_per_ev_atom": 1.716}

[6]
{"formula": "TeOsPt2", "functional": "GGA-PBE", "state": "relaxed", "lattice_angstrom": [[-2.351, 0.941, -3.364], [-1.586, -3.678, 0.079], [-2.921, 1.312, 2.408]], "species": ["Pt", "Te", "Pt", "Os"], "frac_coords": [[0.000, 0.000, 0.000], [0.500, 0.500, 0.000], [0.000, 0.500, 0.500], [0.500, 0.000, 0.500]], "final_energy_ev_per_atom": -6.139, "raw_formation_energy_ev_per_fu": 1.9, "spacegroup": "P4/mmm, No. 123", "dos_at_fermi_per_ev_atom": 1.136}